Record 1
# Rb4NaHg2

Crystalline Rb4NaHg2 at its relaxed geometry (PBE, Alexandria via LeMat-Bulk).

ΔE to the lowest computed polymorph = 0.107 eV/atom
formation enthalpy at 0 K = -0.004 eV/atom
total energy = -5.818 eV/f.u.
calculated volume = 947.8 Å³ per cell

The structure in CIF format:
```
data_Rb4NaHg2
_chemical_formula_sum 'Rb8 Na2 Hg4'
_space_group_name_H-M_alt 'I 4/m m m'
_space_group_IT_number 139
_space_group_name_Hall '-I 4 2'
_cell_length_a 7.1967
_cell_length_b 7.1967
_cell_length_c 18.2997
_cell_angle_alpha 90.00
_cell_angle_beta 90.00
_cell_angle_gamma 90.00
loop_
_atom_site_label
_atom_site_type_symbol
_atom_site_fract_x
_atom_site_fract_y
_atom_site_fract_z
Rb1 Rb 0.0000 0.0000 0.2186
Rb2 Rb 0.0000 0.5000 0.0000
Na1 Na 0.0000 0.0000 0.0000
Hg1 Hg 0.0000 0.0000 0.4162
```

Record 2
# Rb2NaHg2

Crystalline Rb2NaHg2 at its relaxed geometry (PBE, Alexandria via LeMat-Bulk).

ΔE to the lowest computed polymorph = 0.100 eV/atom
formation enthalpy at 0 K = -0.096 eV/atom
total energy = -4.340 eV/f.u.
calculated volume = 451.7 Å³ per cell

The structure in CIF format:
```
data_Rb2NaHg2
_chemical_formula_sum 'Rb4 Na2 Hg4'
_space_group_name_H-M_alt 'P 4/m b m'
_space_group_IT_number 127
_space_group_name_Hall '-P 4 2ab'
_cell_length_a 10.7191
_cell_length_b 10.7191
_cell_length_c 3.9314
_cell_angle_alpha 90.00
_cell_angle_beta 90.00
_cell_angle_gamma 90.00
loop_
_atom_site_label
_atom_site_type_symbol
_atom_site_fract_x
_atom_site_fract_y
_atom_site_fract_z
Rb1 Rb 0.1834 0.3166 0.0000
Na1 Na 0.0000 0.0000 0.0000
Hg1 Hg 0.1042 0.6042 0.5000
```

Record 3
# RbNa22Hg6

Crystalline RbNa22Hg6 at its relaxed geometry (PBE, Alexandria via LeMat-Bulk).

formation enthalpy at 0 K = -0.110 eV/atom
total energy = -34.974 eV/f.u.
calculated volume = 4007.9 Å³ per cell

The structure in CIF format:
```
data_RbNa22Hg6
_chemical_formula_sum 'Rb4 Na88 Hg24'
_space_group_name_H-M_alt 'F m -3 m'
_space_group_IT_number 225
_space_group_name_Hall '-F 4 2 3'
_cell_length_a 15.8844
_cell_length_b 15.8844
_cell_length_c 15.8844
_cell_angle_alpha 90.00
_cell_angle_beta 90.00
_cell_angle_gamma 90.00
loop_
_atom_site_label
_atom_site_type_symbol
_atom_site_fract_x
_atom_site_fract_y
_atom_site_fract_z
Rb1 Rb 0.0000 0.0000 0.0000
Na1 Na 0.0000 0.1761 0.1761
Na2 Na 0.1156 0.1156 0.3844
Na3 Na 0.2500 0.2500 0.2500
Hg1 Hg 0.0000 0.0000 0.2631
```

- Among the records above, which one has the highest total energy?
  Rb2NaHg2